*one*
This record from Alexandria via LeMat-Bulk describes a relaxed Pm2Sm4Ho3 crystal. The functional is GGA-PBE.

Results
The total magnetic moment is 0.00 μB/f.u. The calculation puts the density of states at the Fermi level at 12.1 states/eV/cell. Its symmetry is No. 2. The calculation puts the volume at 32.9 A^3/atom.

Unit cell a=6.2238 b=6.2319 c=9.5131 alpha=108.97 beta=90.08 gamma=119.92
Closest atoms and distances in Å follow each position.
Fractional positions:
Pm (0.0553, 0.2778, 0.1673)  6 Sm 3.59-3.61, 5 Ho 3.59-3.61, 1 Pm 3.61
Pm (0.9447, 0.7222, 0.8327)  6 Sm 3.59-3.61, 5 Ho 3.59-3.61, 1 Pm 3.61
Sm (0.1677, 0.8342, 0.5004)  5 Sm 3.59-3.61, 5 Ho 3.59-3.60, 2 Pm 3.59-3.60
Sm (0.2789, 0.3907, 0.8335)  5 Ho 3.59-3.61, 4 Pm 3.59-3.61, 3 Sm 3.59-3.61
Sm (0.7211, 0.6093, 0.1665)  5 Ho 3.59-3.61, 4 Pm 3.59-3.61, 3 Sm 3.59-3.61
Sm (0.8323, 0.1658, 0.4996)  5 Sm 3.59-3.61, 5 Ho 3.59-3.60, 2 Pm 3.59-3.60
Ho (0.3895, 0.9457, 0.1670)  6 Sm 3.59-3.61, 4 Pm 3.59-3.61, 2 Ho 3.60
Ho (0.5000, 0.5000, 0.5000)  2 Pm 3.59, 8 Sm 3.59-3.60, 2 Ho 3.60
Ho (0.6105, 0.0543, 0.8330)  6 Sm 3.59-3.61, 4 Pm 3.59-3.61, 2 Ho 3.60

=====

*two*
This record from Alexandria via LeMat-Bulk describes a relaxed Pm2Sm4Ho3 crystal. The functional is GGA-PBE.

Results
The total magnetic moment is 0.00 μB/f.u. The calculation puts the density of states at the Fermi level at 16.6 states/eV/cell. Its symmetry is No. 156. The calculation puts the volume at 33.6 A^3/atom.

Unit cell a=3.6181 b=3.6181 c=26.6638 alpha=90.00 beta=90.00 gamma=120.00
Closest atoms and distances in Å follow each position.
Fractional positions:
Pm (0.0000, 0.0000, 0.0000)  3 Ho 3.58, 6 Pm 3.62, 3 Sm 3.64
Pm (0.0000, 0.0000, 0.2147)  3 Ho 3.50, 1 Sm 3.55, 6 Pm 3.62
Sm (0.0000, 0.0000, 0.3480)  3 Ho 3.49, 1 Pm 3.55, 6 Sm 3.62
Sm (0.0000, 0.0000, 0.5615)  3 Ho 3.57, 9 Sm 3.62
Sm (0.3333, 0.6667, 0.6726)  3 Ho 3.55, 9 Sm 3.62
Sm (0.3333, 0.6667, 0.8881)  3 Ho 3.55, 6 Sm 3.62, 3 Pm 3.64
Ho (0.0000, 0.0000, 0.7804)  6 Sm 3.55, 6 Ho 3.62
Ho (0.3333, 0.6667, 0.1092)  6 Pm 3.50-3.58, 6 Ho 3.62
Ho (0.3333, 0.6667, 0.4530)  6 Sm 3.49-3.57, 6 Ho 3.62

=====

The structure with the most favorable energy is *one*; the runner-up is 0.037 eV/atom above it.

=====

*one*
This record from Alexandria via LeMat-Bulk describes a relaxed Pm5Sm3Ho crystal. The functional is GGA-PBE.

Results
The total magnetic moment is 0.00 μB/f.u. The calculation puts the density of states at the Fermi level at 23.7 states/eV/cell. Its symmetry is No. 15. The calculation puts the volume at 35.0 A^3/atom.

Unit cell a=10.6206 b=10.6206 c=11.7649 alpha=121.16 beta=121.16 gamma=34.35
Closest atoms and distances in Å follow each position.
Fractional positions:
Pm (0.0354, 0.6900, 0.3483)  2 Sm 3.13-3.47
Pm (0.0835, 0.9165, 0.7500)  2 Ho 3.07-3.21
Pm (0.1354, 0.5062, 0.6673)  4 Sm 3.45-3.81, 5 Pm 3.49-3.69, 1 Ho 3.66
Pm (0.3100, 0.9646, 0.1517)  2 Sm 3.13-3.47
Pm (0.4938, 0.8646, 0.8327)  4 Sm 3.45-3.81, 5 Pm 3.49-3.69, 1 Ho 3.66
Pm (0.5062, 0.1354, 0.1673)  4 Sm 3.45-3.81, 5 Pm 3.49-3.69, 1 Ho 3.66
Pm (0.6900, 0.0354, 0.8483)  2 Sm 3.13-3.47
Pm (0.8646, 0.4938, 0.3327)  4 Sm 3.45-3.81, 5 Pm 3.49-3.69, 1 Ho 3.66
Pm (0.9165, 0.0835, 0.2500)  2 Ho 3.07-3.21
Pm (0.9646, 0.3100, 0.6517)  2 Sm 3.13-3.47
Sm (0.1010, 0.5434, 0.9710)  2 Sm 3.37-3.71, 1 Ho 3.40, 4 Pm 3.45-3.61
Sm (0.4566, 0.8990, 0.5290)  2 Sm 3.37-3.71, 1 Ho 3.40, 4 Pm 3.45-3.61
Sm (0.5000, 0.5000, 0.0000)  2 Ho 3.00, 2 Pm 3.13
Sm (0.5000, 0.5000, 0.5000)  2 Ho 3.00, 2 Pm 3.13
Sm (0.5434, 0.1010, 0.4710)  2 Sm 3.37-3.71, 1 Ho 3.40, 4 Pm 3.45-3.61
Sm (0.8990, 0.4566, 0.0290)  2 Sm 3.37-3.71, 1 Ho 3.40, 4 Pm 3.45-3.61
Ho (0.4053, 0.5947, 0.2500)  2 Sm 3.00, 2 Pm 3.07-3.21
Ho (0.5947, 0.4053, 0.7500)  2 Sm 3.00, 2 Pm 3.07-3.21

=====

*two*
This record from Alexandria via LeMat-Bulk describes a relaxed Pm5Sm3Ho crystal. The functional is GGA-PBE.

Results
The total magnetic moment is 0.00 μB/f.u. The calculation puts the density of states at the Fermi level at 27.5 states/eV/cell. Its symmetry is No. 12. The calculation puts the volume at 38.1 A^3/atom.

Unit cell a=9.6598 b=9.6598 c=9.9061 alpha=120.56 beta=120.56 gamma=74.52
Closest atoms and distances in Å follow each position.
Fractional positions:
Pm (0.0980, 0.6027, 0.2619)  2 Pm 3.37-3.42, 2 Sm 3.51-3.61
Pm (0.2265, 0.2265, 0.2309)  3 Sm 3.24-3.45, 3 Pm 3.28-3.42, 1 Ho 3.36
Pm (0.2470, 0.7530, 0.0000)  1 Sm 2.96
Pm (0.2743, 0.2743, 0.9522)  3 Sm 3.19-3.43, 3 Pm 3.28-3.37, 1 Ho 3.34
Pm (0.3973, 0.9020, 0.7381)  2 Pm 3.37-3.42, 2 Sm 3.51-3.61
Pm (0.6027, 0.0980, 0.2619)  2 Pm 3.37-3.42, 2 Sm 3.51-3.61
Pm (0.7257, 0.7257, 0.0478)  3 Sm 3.19-3.43, 3 Pm 3.28-3.37, 1 Ho 3.34
Pm (0.7530, 0.2470, 0.0000)  1 Sm 2.96
Pm (0.7735, 0.7735, 0.7691)  3 Sm 3.24-3.45, 3 Pm 3.28-3.42, 1 Ho 3.36
Pm (0.9020, 0.3973, 0.7381)  2 Pm 3.37-3.42, 2 Sm 3.51-3.61
Sm (0.0000, 0.0000, 0.5000)  2 Sm 3.10, 2 Ho 3.35
Sm (0.0060, 0.0060, 0.8189)  1 Sm 3.10, 5 Pm 3.24-3.43, 1 Ho 3.42
Sm (0.4850, 0.4850, 0.6484)  2 Sm 3.25-3.34, 4 Pm 3.26-3.61, 1 Ho 3.28
Sm (0.5000, 0.5000, 0.0000)  4 Pm 2.96-3.19
Sm (0.5150, 0.5150, 0.3515)  2 Sm 3.25-3.34, 4 Pm 3.26-3.61, 1 Ho 3.28
Sm (0.9940, 0.9940, 0.1811)  1 Sm 3.10, 5 Pm 3.24-3.43, 1 Ho 3.42
Ho (0.2512, 0.2512, 0.5937)  4 Sm 3.28-3.42, 2 Pm 3.34-3.36
Ho (0.7488, 0.7488, 0.4063)  4 Sm 3.28-3.42, 2 Pm 3.34-3.36

=====

The structure with the most favorable energy is *one*; the runner-up is 0.214 eV/atom above it.

=====

*one*
This record from Alexandria via LeMat-Bulk describes a relaxed PmSm2Ho9 crystal. The functional is GGA-PBE.

Results
The total magnetic moment is 0.00 μB/f.u. The calculation puts the density of states at the Fermi level at 18.0 states/eV/cell. Its symmetry is No. 191. The calculation puts the volume at 31.9 A^3/atom.

Unit cell a=11.2313 b=11.2313 c=3.5060 alpha=90.00 beta=90.00 gamma=120.00
Closest atoms and distances in Å follow each position.
Fractional positions:
Pm (0.0000, 0.0000, 0.0000)  2 Pm 3.51, 12 Ho 3.85
Sm (0.3333, 0.6667, 0.0000)  9 Ho 3.24-3.53, 2 Sm 3.51
Sm (0.6667, 0.3333, 0.0000)  9 Ho 3.24-3.53, 2 Sm 3.51
Ho (0.0000, 0.5000, 0.0000)  2 Sm 3.24, 10 Ho 3.51-3.61
Ho (0.1761, 0.3522, 0.5000)  8 Ho 3.43-3.61, 2 Sm 3.53
Ho (0.1761, 0.8239, 0.5000)  8 Ho 3.43-3.61, 2 Sm 3.53
Ho (0.3522, 0.1761, 0.5000)  8 Ho 3.43-3.61, 2 Sm 3.53
Ho (0.5000, 0.0000, 0.0000)  2 Sm 3.24, 10 Ho 3.51-3.61
Ho (0.5000, 0.5000, 0.0000)  2 Sm 3.24, 10 Ho 3.51-3.61
Ho (0.6478, 0.8239, 0.5000)  8 Ho 3.43-3.61, 2 Sm 3.53
Ho (0.8239, 0.1761, 0.5000)  8 Ho 3.43-3.61, 2 Sm 3.53
Ho (0.8239, 0.6478, 0.5000)  8 Ho 3.43-3.61, 2 Sm 3.53

=====

*two*
This record from Alexandria via LeMat-Bulk describes a relaxed PmSm2Ho9 crystal. The functional is GGA-PBE.

Results
The total magnetic moment is 0.00 μB/f.u. The calculation puts the density of states at the Fermi level at 16.9 states/eV/cell. Its symmetry is No. 123. The calculation puts the volume at 31.7 A^3/atom.

Unit cell a=5.0207 b=5.0207 c=15.0679 alpha=90.00 beta=90.00 gamma=90.00
Closest atoms and distances in Å follow each position.
Fractional positions:
Pm (0.0000, 0.0000, 0.0000)  12 Ho 3.55
Sm (0.0000, 0.0000, 0.3335)  12 Ho 3.55
Sm (0.0000, 0.0000, 0.6665)  12 Ho 3.55
Ho (0.0000, 0.5000, 0.1670)  2 Sm 3.55, 8 Ho 3.55, 2 Pm 3.55
Ho (0.0000, 0.5000, 0.5000)  8 Ho 3.55, 4 Sm 3.55
Ho (0.0000, 0.5000, 0.8330)  2 Sm 3.55, 8 Ho 3.55, 2 Pm 3.55
Ho (0.5000, 0.0000, 0.1670)  2 Sm 3.55, 8 Ho 3.55, 2 Pm 3.55
Ho (0.5000, 0.0000, 0.5000)  8 Ho 3.55, 4 Sm 3.55
Ho (0.5000, 0.0000, 0.8330)  2 Sm 3.55, 8 Ho 3.55, 2 Pm 3.55
Ho (0.5000, 0.5000, 0.0000)  4 Pm 3.55, 8 Ho 3.55
Ho (0.5000, 0.5000, 0.3336)  8 Ho 3.55, 4 Sm 3.55
Ho (0.5000, 0.5000, 0.6664)  8 Ho 3.55, 4 Sm 3.55

=====

The structure with the most favorable energy is *two*; the runner-up is 0.033 eV/atom above it.

=====

*one*
This record from Alexandria via LeMat-Bulk describes a relaxed Pm2Sm5Ho crystal. The functional is GGA-PBE.

Results
The total magnetic moment is 0.00 μB/f.u. The calculation puts the density of states at the Fermi level at 21.3 states/eV/cell. Its symmetry is No. 11. The calculation puts the volume at 35.1 A^3/atom.

Unit cell a=7.2228 b=10.1744 c=7.8562 alpha=90.00 beta=103.42 gamma=90.00
Closest atoms and distances in Å follow each position.
Fractional positions:
Pm (0.0890, 0.0934, 0.3626)  2 Pm 3.19-3.35, 3 Sm 3.34-3.51, 1 Ho 3.55
Pm (0.0890, 0.4066, 0.3626)  2 Pm 3.19-3.35, 3 Sm 3.34-3.51, 1 Ho 3.55
Pm (0.9110, 0.5934, 0.6374)  2 Pm 3.19-3.35, 3 Sm 3.34-3.51, 1 Ho 3.55
Pm (0.9110, 0.9066, 0.6374)  2 Pm 3.19-3.35, 3 Sm 3.34-3.51, 1 Ho 3.55
Sm (0.2500, 0.0226, 0.0009)  2 Pm 3.39-3.51, 5 Sm 3.40-3.64, 1 Ho 3.63
Sm (0.2500, 0.4774, 0.0009)  2 Pm 3.39-3.51, 5 Sm 3.40-3.64, 1 Ho 3.63
Sm (0.4061, 0.5930, 0.6354)  5 Sm 3.19-3.56, 1 Pm 3.34
Sm (0.4061, 0.9070, 0.6354)  5 Sm 3.19-3.56, 1 Pm 3.34
Sm (0.4377, 0.2500, 0.7304)  8 Sm 3.56-3.88, 2 Ho 3.57-3.65, 2 Pm 3.72
Sm (0.5623, 0.7500, 0.2696)  8 Sm 3.56-3.88, 2 Ho 3.57-3.65, 2 Pm 3.72
Sm (0.5939, 0.0930, 0.3646)  5 Sm 3.19-3.56, 1 Pm 3.34
Sm (0.5939, 0.4070, 0.3646)  5 Sm 3.19-3.56, 1 Pm 3.34
Sm (0.7500, 0.5226, 0.9991)  2 Pm 3.39-3.51, 5 Sm 3.40-3.64, 1 Ho 3.63
Sm (0.7500, 0.9774, 0.9991)  2 Pm 3.39-3.51, 5 Sm 3.40-3.64, 1 Ho 3.63
Ho (0.0702, 0.7500, 0.2782)  4 Pm 3.55-3.65, 8 Sm 3.57-3.93
Ho (0.9298, 0.2500, 0.7218)  4 Pm 3.55-3.65, 8 Sm 3.57-3.93

=====

*two*
This record from Alexandria via LeMat-Bulk describes a relaxed Pm2Sm5Ho crystal. The functional is GGA-PBE.

Results
The total magnetic moment is 0.00 μB/f.u. The calculation puts the density of states at the Fermi level at 23.0 states/eV/cell. Its symmetry is No. 55. The calculation puts the volume at 33.5 A^3/atom.

Unit cell a=7.2472 b=14.5018 c=5.1062 alpha=90.00 beta=90.00 gamma=90.00
Closest atoms and distances in Å follow each position.
Fractional positions:
Pm (0.2495, 0.1243, 0.0000)  10 Sm 3.61-3.64, 2 Ho 3.61
Pm (0.2505, 0.6243, 0.0000)  10 Sm 3.61-3.64, 2 Ho 3.61
Pm (0.7495, 0.3757, 0.0000)  10 Sm 3.61-3.64, 2 Ho 3.61
Pm (0.7505, 0.8757, 0.0000)  10 Sm 3.61-3.64, 2 Ho 3.61
Sm (0.9995, 0.2492, 0.5000)  1 Ho 3.61, 7 Sm 3.61-3.64, 4 Pm 3.62-3.63
Sm (0.0000, 0.5000, 0.5000)  6 Sm 3.61-3.64, 4 Pm 3.61, 2 Ho 3.62
Sm (0.0005, 0.7508, 0.5000)  1 Ho 3.61, 7 Sm 3.61-3.64, 4 Pm 3.62-3.63
Sm (0.2498, 0.3754, 0.0000)  4 Pm 3.61-3.64, 6 Sm 3.61-3.63, 2 Ho 3.62
Sm (0.2502, 0.8754, 0.0000)  4 Pm 3.61-3.64, 6 Sm 3.61-3.63, 2 Ho 3.62
Sm (0.5000, 0.0000, 0.5000)  6 Sm 3.61-3.64, 4 Pm 3.61, 2 Ho 3.62
Sm (0.4995, 0.2508, 0.5000)  1 Ho 3.61, 7 Sm 3.61-3.64, 4 Pm 3.62-3.63
Sm (0.5005, 0.7492, 0.5000)  1 Ho 3.61, 7 Sm 3.61-3.64, 4 Pm 3.62-3.63
Sm (0.7498, 0.1246, 0.0000)  4 Pm 3.61-3.64, 6 Sm 3.61-3.63, 2 Ho 3.62
Sm (0.7502, 0.6246, 0.0000)  4 Pm 3.61-3.64, 6 Sm 3.61-3.63, 2 Ho 3.62
Ho (0.0000, 0.0000, 0.5000)  4 Pm 3.61, 8 Sm 3.61-3.62
Ho (0.5000, 0.5000, 0.5000)  4 Pm 3.61, 8 Sm 3.61-3.62

=====

The structure with the most favorable energy is *two*; the runner-up is 0.219 eV/atom above it.